[1]
# Sr3Li2Ca3 (PBE, optimized geometry)
# Total DFT energy (no corrections), eV per atom: -1.812
# ΔE to the lowest computed polymorph, eV per atom: 0.024
# Fermi-level density of states, states/eV per cell: 6.80
data_Sr3Li2Ca3
_chemical_formula_sum 'Sr3 Li2 Ca3'
_symmetry_space_group_name_H-M 'P -6 2 m'
_symmetry_Int_Tables_number 189
_symmetry_space_group_name_Hall 'P -6 -2'
_cell_length_a 9.6400
_cell_length_b 9.6400
_cell_length_c 4.2018
_cell_angle_alpha 90.00
_cell_angle_beta 90.00
_cell_angle_gamma 120.00
loop_
_atom_site_label
_atom_site_fract_x
_atom_site_fract_y
_atom_site_fract_z
Sr1 0.0000 0.4182 0.0000
Li1 0.3333 0.6667 0.5000
Ca1 0.0000 0.7697 0.5000

---

[2]
# BePbS2N (PBE, optimized geometry)
# Total DFT energy (no corrections), eV per atom: -4.374
# ΔE to the lowest computed polymorph, eV per atom: 0.000
# Raw formation energy, meV per atom: 428.9
# Fermi-level density of states, states/eV per cell: 2.67
data_BePbS2N
_chemical_formula_sum 'Be1 Pb1 S2 N1'
_symmetry_space_group_name_H-M 'P 4/m m m'
_symmetry_Int_Tables_number 123
_symmetry_space_group_name_Hall '-P 4 2'
_cell_length_a 5.624
_cell_length_b 5.624
_cell_length_c 3.195
_cell_angle_alpha 90.00
_cell_angle_beta 90.00
_cell_angle_gamma 90.00
loop_
_atom_site_label
_atom_site_fract_x
_atom_site_fract_y
_atom_site_fract_z
Be1 0.000 0.000 0.000
Pb1 0.500 0.500 0.500
S1 0.000 0.500 0.000
N1 0.000 0.000 0.500

---

[3]
# NaCd2AgF6 (PBE, optimized geometry)
# Total DFT energy (no corrections), eV per atom: -3.553
# Raw formation energy, meV per atom: -1830.3
data_NaCd2AgF6
_chemical_formula_sum 'Na1 Cd2 Ag1 F6'
_symmetry_space_group_name_H-M 'P 4 m m'
_symmetry_Int_Tables_number 99
_symmetry_space_group_name_Hall 'P 4 -2'
_cell_length_a 5.385
_cell_length_b 5.385
_cell_length_c 5.878
_cell_angle_alpha 90.00
_cell_angle_beta 90.00
_cell_angle_gamma 90.00
loop_
_atom_site_label
_atom_site_fract_x
_atom_site_fract_y
_atom_site_fract_z
Na1 0.000 0.000 0.000
Cd1 0.000 0.500 0.408
Ag1 0.500 0.500 0.956
F1 0.000 0.000 0.620
F2 0.248 0.248 0.210
F3 0.500 0.500 0.585

---

[4]
# PmThPd (PBE, optimized geometry)
# Total DFT energy (no corrections), eV per atom: -6.224
# ΔE to the lowest computed polymorph, eV per atom: 0.003
# Fermi-level density of states, states/eV per cell: 7.22
data_PmThPd
_chemical_formula_sum 'Pm2 Th2 Pd2'
_symmetry_space_group_name_H-M 'I 4 m m'
_symmetry_Int_Tables_number 107
_symmetry_space_group_name_Hall 'I 4 -2'
_cell_length_a 3.716
_cell_length_b 3.716
_cell_length_c 11.734
_cell_angle_alpha 90.00
_cell_angle_beta 90.00
_cell_angle_gamma 90.00
loop_
_atom_site_label
_atom_site_fract_x
_atom_site_fract_y
_atom_site_fract_z
Pm1 0.000 0.000 0.000
Th1 0.000 0.000 0.705
Pd1 0.000 0.000 0.331

---

[5]
# Ca2Ag3Au6 (PBE, optimized geometry)
# Total DFT energy (no corrections), eV per atom: -3.193
# Fermi-level density of states, states/eV per cell: 7.95
data_Ca2Ag3Au6
_chemical_formula_sum 'Ca4 Ag6 Au12'
_symmetry_space_group_name_H-M 'C m m m'
_symmetry_Int_Tables_number 65
_symmetry_space_group_name_Hall '-C 2 2'
_cell_length_a 9.930
_cell_length_b 12.350
_cell_length_c 4.110
_cell_angle_alpha 90.00
_cell_angle_beta 90.00
_cell_angle_gamma 90.00
loop_
_atom_site_label
_atom_site_fract_x
_atom_site_fract_y
_atom_site_fract_z
Ca1 0.000 0.170 0.000
Ag1 0.000 0.500 0.500
Ag2 0.182 0.500 0.000
Au1 0.135 0.000 0.500
Au2 0.149 0.320 0.500

---

[6]
# TbPaS4 (PBE, optimized geometry)
# Total DFT energy (no corrections), eV per atom: -6.805
# ΔE to the lowest computed polymorph, eV per atom: 0.058
# Raw formation energy, meV per atom: -1699.2
data_TbPaS4
_chemical_formula_sum 'Tb2 Pa2 S8'
_symmetry_space_group_name_H-M 'C m m m'
_symmetry_Int_Tables_number 65
_symmetry_space_group_name_Hall '-C 2 2'
_cell_length_a 8.796
_cell_length_b 8.960
_cell_length_c 4.156
_cell_angle_alpha 90.00
_cell_angle_beta 90.00
_cell_angle_gamma 90.00
loop_
_atom_site_label
_atom_site_fract_x
_atom_site_fract_y
_atom_site_fract_z
Tb1 0.000 0.000 0.000
Pa1 0.000 0.500 0.500
S1 0.000 0.313 0.000
S2 0.202 0.000 0.500

---

no.,M_tot (Bohr magnetons per cell)
1,0.00
2,1.93
3,0.21
4,0.00
5,0.00
6,0.00